# ReHg2RuSe (PBE-GGA, optimized geometry)
# theoretical density: 9.72 g/cm³
# symmetry: No. 123
# energy: -3.81 eV/atom
# total magnetic moment: 3.16 μB per cell
# DOS at the Fermi energy: 3.59 states/eV/f.u.
# crystal system: tetragonal
data_ReHg2RuSe
_cell_length_a 5.353
_cell_length_b 5.353
_cell_length_c 4.574
_cell_angle_alpha 90.00
_cell_angle_beta 90.00
_cell_angle_gamma 90.00
_space_group_name_H-M_alt 'P 1'
_space_group_IT_number 1
loop_
_space_group_symop_operation_xyz
'x,y,z'
loop_
_atom_site_label
_atom_site_type_symbol
_atom_site_fract_x
_atom_site_fract_y
_atom_site_fract_z
_atom_site_occupancy
Re1 Re 0.000 0.000 0.000 1
Hg1 Hg 0.000 0.500 0.000 1
Hg2 Hg 0.500 0.000 0.000 1
Ru1 Ru 0.500 0.500 0.500 1
Se1 Se 0.000 0.000 0.500 1